# 1
Sr2CdRh2 | PBE | optimized geometry

Computed properties:
The calculation puts the total energy at -19.0 eV per formula unit. The symmetry is I4/mmm (139). As for the formation energy from the elements: 0 kJ/mol of atoms. For the calculated volume, the calculation gives 136.8 Å³/cell.

Structure (extended XYZ):
```
5
Lattice="-2.930 2.930 3.985 2.930 -2.930 3.985 2.930 2.930 -3.985" Properties=species:S:1:pos:R:3 pbc="T T T"
Sr 2.930 0.000 1.992
Sr 0.000 2.930 1.992
Cd 0.000 0.000 0.000
Rh 0.000 0.000 2.709
Rh 0.000 0.000 5.260
```


# 2
AcMgP | PBE | optimized geometry

Computed properties:
The calculation puts the total energy at -13.2 eV per formula unit. The energy above the lowest structure with this stoichiometry is 44 meV/atom. The symmetry is R-3m (166). As for the formation energy from the elements: -68 kJ/mol of atoms. For the calculated volume, the calculation gives 199.7 Å³/cell.

Structure (extended XYZ):
```
6
Lattice="2.591 1.496 8.587 -2.591 1.496 8.587 0.000 -2.992 8.587" Properties=species:S:1:pos:R:3 pbc="T T T"
Ac 0.000 0.000 2.650
Ac 0.000 0.000 23.112
Mg 0.000 0.000 8.203
Mg 0.000 0.000 17.558
P 0.000 0.000 5.639
P 0.000 0.000 20.122
```


# 3
ScHgIr4 | PBE | optimized geometry

Computed properties:
The calculation puts the total energy at -43.1 eV per formula unit. The symmetry is F-43m (216). As for the formation energy from the elements: -16 kJ/mol of atoms. For the calculated volume, the calculation gives 102.8 Å³/cell.

Structure (extended XYZ):
```
6
Lattice="0.000 3.718 3.718 3.718 0.000 3.718 3.718 3.718 0.000" Properties=species:S:1:pos:R:3 pbc="T T T"
Sc 0.000 0.000 0.000
Hg 5.576 5.576 5.576
Ir 2.788 2.788 2.788
Ir 4.647 4.647 2.788
Ir 4.647 2.788 4.647
Ir 2.788 4.647 4.647
```


# 4
LiGeB | PBE | optimized geometry

Computed properties:
The calculation puts the total energy at -12.9 eV per formula unit. The symmetry is P1 (1). As for the formation energy from the elements: 12 kJ/mol of atoms. For the calculated volume, the calculation gives 84.8 Å³/cell.

Structure (extended XYZ):
```
6
Lattice="3.329 0.000 0.000 1.653 4.796 0.000 0.086 1.020 5.311" Properties=species:S:1:pos:R:3 pbc="T T T"
Li 0.000 0.000 0.000
Li 1.691 2.710 3.184
Ge 1.687 2.258 0.368
Ge 3.340 4.997 2.407
B 3.352 3.073 1.575
B 3.353 1.472 2.006
```